Compound: Cs2TiCI6
Source: Alexandria via LeMat-Bulk
Functional: PBE-GGA
Structure: relaxed

Values from the calculation:
- Total magnetization: 4.00 μB per cell
- VASP energy: -3.14 eV per atom

a b c (Å): 7.869 7.869 12.808
angles (deg): 90.00 90.00 90.00
Space group I4/mmm (No. 139)
One atom of each set of equivalent atoms:
Cs1 0.000 0.500 0.250 [4 per cell]
Ti1 0.000 0.000 0.000 [2 per cell]
C1 0.000 0.000 0.500 [2 per cell]
I1 0.000 0.000 0.217 [4 per cell]
I2 0.243 0.243 0.500 [8 per cell]

***

Compound: Cs2WCI6
Source: Alexandria via LeMat-Bulk
Functional: PBE-GGA
Structure: relaxed

Values from the calculation:
- Total magnetization: 8.00 μB per cell
- VASP energy: -3.29 eV per atom

a b c (Å): 7.864 7.864 12.766
angles (deg): 90.00 90.00 90.00
Space group I4/mmm (No. 139)
One atom of each set of equivalent atoms:
Cs1 0.000 0.500 0.250 [4 per cell]
W1 0.000 0.000 0.000 [2 per cell]
C1 0.000 0.000 0.500 [2 per cell]
I1 0.000 0.000 0.218 [4 per cell]
I2 0.245 0.245 0.500 [8 per cell]

***

Compound: CsY10C4I18
Source: Alexandria via LeMat-Bulk
Functional: PBE-GGA
Structure: relaxed

Values from the calculation:
- Total magnetization: 1.04 μB per cell
- VASP energy: -5.19 eV per atom

a b c (Å): 11.504 11.533 11.555
angles (deg): 66.68 60.43 70.71
Space group P-1 (No. 2)
One atom of each set of equivalent atoms:
Cs1 0.000 0.000 0.000 [1 per cell]
Y1 0.183 0.786 0.544 [2 per cell]
Y2 0.224 0.515 0.424 [2 per cell]
Y3 0.397 0.500 0.658 [2 per cell]
Y4 0.407 0.791 0.204 [2 per cell]
Y5 0.463 0.176 0.574 [2 per cell]
C1 0.350 0.620 0.432 [2 per cell]
C2 0.426 0.696 0.432 [2 per cell]
I1 0.047 0.333 0.423 [2 per cell]
I2 0.122 0.655 0.838 [2 per cell]
I3 0.145 0.997 0.293 [2 per cell]
I4 0.184 0.328 0.719 [2 per cell]
I5 0.239 0.682 0.140 [2 per cell]
I6 0.281 0.997 0.575 [2 per cell]
I7 0.341 0.346 0.968 [2 per cell]
I8 0.433 0.999 0.864 [2 per cell]
I9 0.471 0.331 0.284 [2 per cell]

***

Compound: Cs2ZnCI6
Source: Alexandria via LeMat-Bulk
Functional: PBE-GGA
Structure: relaxed

Values from the calculation:
- Total magnetization: 0.00 μB per cell
- VASP energy: -2.37 eV per atom

a b c (Å): 8.004 8.004 11.297
angles (deg): 90.00 90.00 90.00
Space group I4/mmm (No. 139)
One atom of each set of equivalent atoms:
Cs1 0.000 0.500 0.250 [4 per cell]
Zn1 0.000 0.000 0.000 [2 per cell]
C1 0.000 0.000 0.500 [2 per cell]
I1 0.000 0.000 0.258 [4 per cell]
I2 0.241 0.241 0.500 [8 per cell]